Entry P
Crystalline K2NdCuI6 at its relaxed geometry. Source: the Alexandria database, functional PBE-GGA.

DOS(E_F) = 0.0 states/eV per cell
V = 864 Å³/cell

```
data_K2NdCuI6
_space_group_name_H-M_alt 'P 1 21/c 1'
_space_group_IT_number 14
_cell_length_a 8.531
_cell_length_b 9.474
_cell_length_c 13.550
_cell_angle_alpha 90.00
_cell_angle_beta 127.95
_cell_angle_gamma 90.00
loop_
_space_group_symop_operation_xyz
'x,y,z'
'-x,-y,-z'
'-x,y+1/2,-z+1/2'
'x,-y+1/2,z+1/2'
loop_
_atom_site_label
_atom_site_type_symbol
_atom_site_fract_x
_atom_site_fract_y
_atom_site_fract_z
K1 K 0.218 0.102 0.247
Nd1 Nd 0.000 0.000 0.500
Cu1 Cu 0.500 0.000 0.000
I1 I 0.114 0.213 0.949
I2 I 0.252 0.663 0.944
I3 I 0.394 0.032 0.785
```

=====

Entry Q
Crystalline K2NdCuI6 at its relaxed geometry. Source: the Alexandria database, functional PBE-GGA.

DOS(E_F) = 0.0 states/eV per cell
V = 1703 Å³/cell

```
data_K2NdCuI6
_space_group_name_H-M_alt 'F m -3 m'
_space_group_IT_number 225
_space_group_name_Hall '-F 4 2 3'
_cell_length_a 11.942
_cell_length_b 11.942
_cell_length_c 11.942
_cell_angle_alpha 90.00
_cell_angle_beta 90.00
_cell_angle_gamma 90.00
loop_
_atom_site_label
_atom_site_type_symbol
_atom_site_fract_x
_atom_site_fract_y
_atom_site_fract_z
K1 K 0.250 0.250 0.250
Nd1 Nd 0.000 0.000 0.000
Cu1 Cu 0.000 0.000 0.500
I1 I 0.000 0.000 0.260
```

=====

Which structure is most stable, and how do the rest compare? From most to least stable: entry P, entry Q.

=====

Entry P
Crystalline KCuSb2I at its relaxed geometry. Source: the Alexandria database, functional PBE-GGA.

DOS(E_F) = 3.8 states/eV per cell
V = 200 Å³/cell

```
data_KCuSb2I
_space_group_name_H-M_alt 'P 4/m m m'
_space_group_IT_number 123
_space_group_name_Hall '-P 4 2'
_cell_length_a 4.945
_cell_length_b 4.945
_cell_length_c 8.193
_cell_angle_alpha 90.00
_cell_angle_beta 90.00
_cell_angle_gamma 90.00
loop_
_atom_site_label
_atom_site_type_symbol
_atom_site_fract_x
_atom_site_fract_y
_atom_site_fract_z
K1 K 0.000 0.000 0.000
Cu1 Cu 0.500 0.500 0.500
Sb1 Sb 0.000 0.500 0.500
I1 I 0.500 0.500 0.000
```

=====

Entry Q
Crystalline KCuSb2I at its relaxed geometry. Source: the Alexandria database, functional PBE-GGA.

DOS(E_F) = 7.1 states/eV per cell
V = 237 Å³/cell

```
data_KCuSb2I
_space_group_name_H-M_alt 'P 4/m m m'
_space_group_IT_number 123
_space_group_name_Hall '-P 4 2'
_cell_length_a 6.200
_cell_length_b 6.200
_cell_length_c 6.171
_cell_angle_alpha 90.00
_cell_angle_beta 90.00
_cell_angle_gamma 90.00
loop_
_atom_site_label
_atom_site_type_symbol
_atom_site_fract_x
_atom_site_fract_y
_atom_site_fract_z
K1 K 0.000 0.000 0.000
Cu1 Cu 0.500 0.500 0.500
Sb1 Sb 0.000 0.500 0.000
I1 I 0.000 0.000 0.500
```

=====

Which structure is most stable, and how do the rest compare? From most to least stable: entry P, entry Q.

=====

Entry P
Crystalline KCuSbI2 at its relaxed geometry. Source: the Alexandria database, functional PBE-GGA.

DOS(E_F) = 3.8 states/eV per cell
V = 174 Å³/cell

```
data_KCuSbI2
_space_group_name_H-M_alt 'P 4/m m m'
_space_group_IT_number 123
_space_group_name_Hall '-P 4 2'
_cell_length_a 5.926
_cell_length_b 5.926
_cell_length_c 4.951
_cell_angle_alpha 90.00
_cell_angle_beta 90.00
_cell_angle_gamma 90.00
loop_
_atom_site_label
_atom_site_type_symbol
_atom_site_fract_x
_atom_site_fract_y
_atom_site_fract_z
K1 K 0.000 0.000 0.000
Cu1 Cu 0.500 0.500 0.500
Sb1 Sb 0.500 0.500 0.000
I1 I 0.000 0.500 0.500
```

=====

Entry Q
Crystalline KCuSbI2 at its relaxed geometry. Source: the Alexandria database, functional PBE-GGA.

DOS(E_F) = 5.8 states/eV per cell
V = 278 Å³/cell

```
data_KCuSbI2
_space_group_name_H-M_alt 'P 4/m m m'
_space_group_IT_number 123
_space_group_name_Hall '-P 4 2'
_cell_length_a 6.491
_cell_length_b 6.491
_cell_length_c 6.597
_cell_angle_alpha 90.00
_cell_angle_beta 90.00
_cell_angle_gamma 90.00
loop_
_atom_site_label
_atom_site_type_symbol
_atom_site_fract_x
_atom_site_fract_y
_atom_site_fract_z
K1 K 0.000 0.000 0.000
Cu1 Cu 0.500 0.500 0.500
Sb1 Sb 0.000 0.000 0.500
I1 I 0.000 0.500 0.000
```

=====

Which structure is most stable, and how do the rest compare? From most to least stable: entry P, entry Q.

=====

Entry P
Crystalline KCuTe2I at its relaxed geometry. Source: the Alexandria database, functional PBE-GGA.

DOS(E_F) = 6.1 states/eV per cell
V = 184 Å³/cell

```
data_KCuTe2I
_space_group_name_H-M_alt 'P 4/m m m'
_space_group_IT_number 123
_space_group_name_Hall '-P 4 2'
_cell_length_a 5.049
_cell_length_b 5.049
_cell_length_c 7.233
_cell_angle_alpha 90.00
_cell_angle_beta 90.00
_cell_angle_gamma 90.00
loop_
_atom_site_label
_atom_site_type_symbol
_atom_site_fract_x
_atom_site_fract_y
_atom_site_fract_z
K1 K 0.000 0.000 0.000
Cu1 Cu 0.500 0.500 0.500
Te1 Te 0.000 0.500 0.500
I1 I 0.500 0.500 0.000
```

=====

Entry Q
Crystalline KCuTe2I at its relaxed geometry. Source: the Alexandria database, functional PBE-GGA.

DOS(E_F) = 3.8 states/eV per cell
V = 267 Å³/cell

```
data_KCuTe2I
_space_group_name_H-M_alt 'P 4/m m m'
_space_group_IT_number 123
_space_group_name_Hall '-P 4 2'
_cell_length_a 6.482
_cell_length_b 6.482
_cell_length_c 6.347
_cell_angle_alpha 90.00
_cell_angle_beta 90.00
_cell_angle_gamma 90.00
loop_
_atom_site_label
_atom_site_type_symbol
_atom_site_fract_x
_atom_site_fract_y
_atom_site_fract_z
K1 K 0.000 0.000 0.000
Cu1 Cu 0.500 0.500 0.500
Te1 Te 0.000 0.500 0.000
I1 I 0.000 0.000 0.500
```

=====

Which structure is most stable, and how do the rest compare? From most to least stable: entry P, entry Q.